CrReTeI2 | Alexandria | PBE | optimized geometry; mass density = 6.344 g/cm3; raw total energy = -4.396 eV per atom; ΔE_f (raw) = 6.334 eV per formula unit; excess energy over the best structure of this formula in the dataset = 267 meV per atom; total magnetic moment = 1.790 μB/atom; space-group type = P4/mmm, No. 123
1.0
5.4220 0.0000 0.0000
0.0000 5.4220 0.0000
0.0000 0.0000 5.5167
I Re Cr Te
2 1 1 1
Direct
0.0000 0.5000 0.0000
0.5000 0.0000 0.0000
0.5000 0.5000 0.5000
0.0000 0.0000 0.0000
0.0000 0.0000 0.5000